(1)
AlMoOs2: relaxed, GGA-PBE.

a b c (Å): 2.9618 4.6213 8.6408
angles (deg): 90.00 90.00 90.00
Last column: nearest neighbours and their distance in Å.
Space group Cmmm (No. 65)
Unique sites:
Al1 0.0000 0.0000 0.0000 x2  4 Os 2.56, 4 Al 2.74
Mo1 0.0000 0.0000 0.5000 x2  4 Os 2.68, 6 Mo 2.74-2.96
Os1 0.0000 0.5000 0.2415 x4  2 Al 2.56, 2 Mo 2.68, 4 Os 2.74

- DFT formation energy (eV per atom) = 0.1161
- M_tot (μB per atom) = 0.000


(2)
AlMoOs2: relaxed, GGA-PBE.

a b c (Å): 2.7971 2.7971 25.9914
angles (deg): 90.00 90.00 120.00
Last column: nearest neighbours and their distance in Å.
Space group R-3m (No. 166, hexagonal axes)
Unique sites:
Al1 0.0000 0.0000 0.0000 x3  6 Os 2.68, 6 Al 2.80
Mo1 0.0000 0.0000 0.5000 x3  6 Os 2.73, 6 Mo 2.80
Os1 0.0000 0.0000 0.2512 x6  3 Al 2.68, 3 Mo 2.73, 6 Os 2.80

- DFT formation energy (eV per atom) = -0.0690
- M_tot (μB per atom) = 0.000


(3)
AlMoOs2: relaxed, GGA-PBE.

a b c (Å): 2.7867 2.7867 26.4904
angles (deg): 90.00 90.00 120.00
Last column: nearest neighbours and their distance in Å.
Space group R3m (No. 160, hexagonal axes)
Unique sites:
Al1 0.0000 0.0000 0.0000 x3  3 Os 2.69, 6 Al 2.79, 3 Mo 2.81
Mo1 0.0000 0.0000 0.2465 x3  3 Os 2.73, 6 Mo 2.79, 3 Al 2.81
Os1 0.0000 0.0000 0.4964 x3  9 Os 2.70-2.79, 3 Mo 2.73
Os2 0.0000 0.0000 0.7479 x3  3 Al 2.69, 9 Os 2.70-2.79

- DFT formation energy (eV per atom) = 0.0404
- M_tot (μB per atom) = 0.000


(4)
AlMo2Os: relaxed, GGA-PBE.

a b c (Å): 2.7968 2.7968 27.1058
angles (deg): 90.00 90.00 120.00
Last column: nearest neighbours and their distance in Å.
Space group R3m (No. 160, hexagonal axes)
Unique sites:
Al1 0.0000 0.0000 0.0000 x3  3 Os 2.71, 3 Mo 2.79, 6 Al 2.80
Mo1 0.0000 0.0000 0.5067 x3  3 Os 2.70, 9 Mo 2.80-2.92
Mo2 0.0000 0.0000 0.7505 x3  3 Al 2.79, 9 Mo 2.80-2.92
Os1 0.0000 0.0000 0.2532 x3  3 Mo 2.70, 3 Al 2.71, 6 Os 2.80

- DFT formation energy (eV per atom) = 0.0437
- M_tot (μB per atom) = 0.000


Repeat the second record exactly.
AlMoOs2: relaxed, GGA-PBE.

a b c (Å): 2.7971 2.7971 25.9914
angles (deg): 90.00 90.00 120.00
Last column: nearest neighbours and their distance in Å.
Space group R-3m (No. 166, hexagonal axes)
Unique sites:
Al1 0.0000 0.0000 0.0000 x3  6 Os 2.68, 6 Al 2.80
Mo1 0.0000 0.0000 0.5000 x3  6 Os 2.73, 6 Mo 2.80
Os1 0.0000 0.0000 0.2512 x6  3 Al 2.68, 3 Mo 2.73, 6 Os 2.80

- DFT formation energy (eV per atom) = -0.0690
- M_tot (μB per atom) = 0.000


Q: Number 2 is which compound?
A: AlMoOs2